1.
PaSnS PBE-GGA relaxed; final energy = -0.4690 Ry per atom; V = 72.9 Å³/cell; uncorrected formation energy = -505 meV/atom; excess energy over the best structure of this formula in the dataset = 0.516 eV per atom
1.0
3.435 0.000 0.000
-1.717 2.975 0.000
0.000 0.000 7.137
Sn S Pa
1 1 1
Cartesian
0.000 0.000 0.034 Sn
1.717 0.992 2.632 S
0.000 1.983 4.471 Pa

2.
Er2PuHfAs4 PBE-GGA relaxed; final energy = -0.5707 Ry per atom; V = 184.2 Å³/cell; energy of formation = -1263.4 meV/atom
1.0
4.023 0.000 0.000
0.000 6.964 0.132
0.000 -2.423 6.529
Er As Hf Pu
2 4 1 1
Cartesian
2.012 -1.211 3.265 Er
0.000 2.271 3.331 Er
0.000 -0.017 4.998 As
0.000 4.559 1.663 As
2.012 1.199 1.636 As
2.012 3.342 5.025 As
2.012 3.482 0.066 Hf
0.000 0.000 0.000 Pu

3.
TbPrSm2Te6 PBE-GGA relaxed; final energy = -0.3782 Ry per atom; V = 383.1 Å³/cell; uncorrected formation energy = -1376 meV/atom
1.0
-5.406 -5.011 -2.762
0.120 -7.546 2.237
-6.027 -2.621 5.333
Sm Tb Pr Te
2 1 1 6
Cartesian
-5.904 -2.666 5.174 Sm
-5.504 -7.645 2.208 Sm
-1.899 -4.135 0.002 Tb
-7.592 -11.710 2.454 Pr
-4.719 -5.388 0.184 Te
-6.413 -9.800 0.127 Te
-6.660 -9.489 4.510 Te
-5.104 -5.626 4.616 Te
-8.443 -6.463 2.269 Te
-2.629 -8.755 2.760 Te

4.
Y2FePt PBE-GGA relaxed; final energy = -0.5342 Ry per atom; V = 100.0 Å³/cell; energy of formation = -409.8 meV/atom
1.0
7.202 0.034 0.021
6.004 3.978 0.021
6.004 1.824 3.535
Pt Fe Y
1 1 2
Cartesian
15.220 4.624 2.834 Pt
8.793 2.672 1.637 Fe
4.135 1.256 0.770 Y
0.666 0.202 0.124 Y

5.
LiDyTaOs PBE-GGA relaxed; final energy = -0.5466 Ry per atom; V = 71.8 Å³/cell; energy of formation = -37.8 meV/atom
1.0
-3.253 -3.280 -0.651
-0.413 -3.512 3.043
-3.701 -0.209 2.832
Dy Os Ta Li
1 1 1 1
Cartesian
-5.525 -5.250 3.919 Dy
0.000 0.000 0.000 Os
-1.842 -1.750 1.306 Ta
-3.684 -3.500 2.612 Li

6.
BaAl3P2O14 PBE-GGA relaxed; final energy = -0.4818 Ry per atom; V = 269.0 Å³/cell; uncorrected formation energy = -1886 meV/atom
1.0
1.640 3.751 6.247
-4.609 4.916 3.220
-3.391 -1.166 6.552
P O Al Ba
2 14 3 1
Cartesian
-4.476 5.280 11.275 P
-1.883 2.221 4.744 P
-5.831 3.114 7.817 O
-3.959 4.670 9.972 O
-0.529 4.387 8.201 O
-2.401 2.832 6.047 O
-0.350 2.453 4.605 O
-2.155 0.689 4.715 O
-1.694 2.343 9.821 O
-4.665 5.158 6.198 O
-3.768 4.631 12.499 O
-3.859 1.133 8.403 O
-2.501 6.369 7.615 O
-2.592 2.871 3.519 O
-6.009 5.049 11.414 O
-4.205 6.812 11.304 O
0.820 1.875 3.123 Al
-1.695 -0.583 3.276 Al
-2.305 2.458 1.610 Al
0.000 0.000 0.000 Ba

7.
RbSnBi4 PBE-GGA relaxed; final energy = -0.2477 Ry per atom; V = 213.0 Å³/cell; energy of formation = 46.2 meV/atom; excess energy over the best structure of this formula in the dataset = 0.091 eV per atom
1.0
-4.361 -3.334 -3.847
2.176 -3.436 -5.328
-0.090 -6.702 0.069
Bi Rb Sn
4 1 1
Cartesian
-2.531 -6.701 -3.003 Bi
-1.381 -5.043 -5.745 Bi
-1.426 -8.447 -5.709 Bi
0.789 -6.754 -3.755 Bi
-0.569 -3.368 -2.277 Rb
0.000 0.000 0.000 Sn

8.
Be2AlW2 PBE-GGA relaxed; final energy = -0.5510 Ry per atom; V = 122.1 Å³/cell; energy of formation = -76.3 meV/atom
1.0
-4.595 -0.201 3.903
3.908 -0.318 4.585
0.030 3.349 0.207
Be W Al
4 4 2
Cartesian
-2.379 -0.162 2.953 Be
-1.638 -0.374 6.276 Be
0.950 -0.145 2.212 Be
1.691 -0.358 5.534 Be
1.848 1.424 3.881 W
0.137 1.276 6.521 W
-0.795 1.553 2.175 W
-2.506 1.405 4.814 W
-0.344 -0.260 4.244 Al
0.000 0.000 0.000 Al

9.
Ba3AcPm2Se6 PBE-GGA relaxed; final energy = -0.3880 Ry per atom; V = 381.9 Å³/cell; uncorrected formation energy = -1922 meV/atom
1.0
-4.814 2.155 5.589
-2.340 -4.970 -5.374
4.751 -4.740 4.153
Ba Se Ac Pm
3 6 1 2
Cartesian
-0.371 -6.170 -1.497 Ba
-2.032 -1.386 5.865 Ba
-1.201 -3.778 2.184 Ba
-2.132 -4.570 5.262 Se
-0.271 -2.986 -0.894 Se
-1.282 -7.017 1.497 Se
-1.120 -0.539 2.871 Se
-4.170 -3.114 1.083 Se
1.768 -4.442 3.286 Se
0.000 0.000 0.000 Ac
-3.990 -0.219 1.937 Pm
-3.164 -2.596 -1.721 Pm

10.
TbCd7Hg12 PBE-GGA relaxed; final energy = -0.0563 Ry per atom; V = 522.8 Å³/cell; energy of formation = -33.7 meV/atom; excess energy over the best structure of this formula in the dataset = 0.000 eV per atom
1.0
-0.415 -8.321 -0.707
-0.450 1.337 8.242
-7.403 2.628 -2.865
Hg Cd Tb
12 7 1
Cartesian
-5.286 0.483 -1.998 Hg
-2.981 -4.839 6.667 Hg
-1.773 -2.678 4.386 Hg
-1.558 1.242 5.310 Hg
-4.979 0.856 2.006 Hg
-0.489 -5.589 0.830 Hg
-3.884 -3.783 -0.384 Hg
-6.709 -5.598 -0.641 Hg
-6.494 -1.679 0.284 Hg
-7.778 1.233 3.840 Hg
-3.288 -5.212 2.663 Hg
-4.383 -0.573 5.053 Hg
-4.134 -2.178 2.335 Cd
-1.133 -2.705 1.372 Cd
-5.151 -3.557 5.031 Cd
-3.116 -0.799 -0.362 Cd
-6.254 -4.560 2.142 Cd
-7.134 -1.651 3.297 Cd
-2.013 0.204 2.527 Cd
0.000 0.000 0.000 Tb

11.
Ac6Ge2S3Cl PBE-GGA relaxed; final energy = -0.4077 Ry per atom; V = 371.0 Å³/cell; uncorrected formation energy = -1538 meV/atom
1.0
4.461 0.000 0.000
0.000 8.842 0.342
-2.231 -2.525 9.308
Ac Cl S Ge
6 1 3 2
Cartesian
0.000 6.419 6.426 Ac
2.231 4.306 3.318 Ac
2.231 -0.102 3.223 Ac
0.000 2.012 6.331 Ac
0.000 6.468 0.259 Ac
2.231 -0.151 9.390 Ac
2.231 0.000 0.000 Cl
0.000 6.554 3.380 S
2.231 -0.237 6.270 S
2.231 4.421 0.171 S
2.231 4.260 6.514 Ge
0.000 2.057 3.135 Ge

12.
SrAl3Pd3 PBE-GGA relaxed; final energy = -0.3419 Ry per atom; V = 281.6 Å³/cell; energy of formation = -582.5 meV/atom; excess energy over the best structure of this formula in the dataset = 0.000 eV per atom
1.0
-5.435 -2.972 2.781
0.696 -5.815 3.436
-0.527 0.712 8.020
Pd Sr Al
6 2 6
Cartesian
-0.522 -4.236 4.885 Pd
-0.350 -4.673 9.086 Pd
-4.744 -3.839 9.353 Pd
-4.917 -3.402 5.152 Pd
-3.209 -7.063 7.091 Pd
-2.057 -1.012 7.147 Pd
-2.124 -2.278 9.994 Sr
-3.142 -5.797 4.244 Sr
-4.826 -5.008 7.114 Al
-1.017 -5.797 6.923 Al
-4.250 -2.278 7.314 Al
-2.430 -2.596 5.214 Al
-2.837 -5.479 9.024 Al
-0.441 -3.067 7.123 Al

13.
MnPbI3 PBE-GGA relaxed; final energy = -0.2635 Ry per atom; V = 180.0 Å³/cell; uncorrected formation energy = -79 meV/atom; excess energy over the best structure of this formula in the dataset = 0.000 eV per atom
1.0
5.646 0.000 0.000
0.000 5.646 0.000
0.000 0.000 5.646
I Pb Mn
3 1 1
Cartesian
0.000 2.823 0.000 I
0.000 0.000 2.823 I
2.823 0.000 0.000 I
2.823 2.823 2.823 Pb
0.000 0.000 0.000 Mn

14.
Tc2TePdS PBE-GGA relaxed; final energy = -0.4527 Ry per atom; V = 91.5 Å³/cell; uncorrected formation energy = 480 meV/atom
1.0
-1.588 3.879 1.553
-2.331 0.605 -3.896
-3.505 -2.142 1.765
Pd Tc Te S
1 2 1 1
Cartesian
-1.165 0.303 -1.948 Pd
-1.753 -1.071 0.882 Tc
-0.794 1.940 0.776 Tc
-3.712 1.172 -0.289 Te
0.000 0.000 0.000 S

15.
TbEr3Mg6 PBE-GGA relaxed; final energy = -0.2093 Ry per atom; V = 522.3 Å³/cell; energy of formation = -58.4 meV/atom; excess energy over the best structure of this formula in the dataset = 0.000 eV per atom
1.0
-0.202 5.024 1.518
-6.460 -2.139 6.222
9.803 -1.203 5.285
Mg Er Tb
12 6 2
Cartesian
2.619 -0.999 8.198 Mg
-2.645 -0.933 7.278 Mg
5.786 2.614 5.747 Mg
2.228 0.973 10.704 Mg
5.068 1.496 9.352 Mg
8.476 0.071 5.436 Mg
-5.334 1.611 7.588 Mg
3.183 0.138 4.509 Mg
0.523 2.681 4.827 Mg
0.914 0.708 2.320 Mg
-1.927 0.185 3.673 Mg
-0.042 1.543 8.516 Mg
-4.852 -0.349 5.054 Er
0.322 -0.388 5.871 Er
2.820 2.070 7.153 Er
7.994 2.031 7.971 Er
-2.352 2.136 6.246 Er
5.493 -0.455 6.778 Er
-0.284 -1.497 9.459 Tb
3.426 3.178 3.566 Tb

16.
KGe3Pd PBE-GGA relaxed; final energy = -0.3126 Ry per atom; V = 216.4 Å³/cell; energy of formation = -225.3 meV/atom; excess energy over the best structure of this formula in the dataset = 0.000 eV per atom
1.0
6.103 -1.137 0.000
-1.763 5.953 0.000
0.000 0.000 6.303
Ge Pd K
6 2 2
Cartesian
1.072 3.399 1.576 Ge
1.075 1.193 3.151 Ge
3.265 3.623 3.152 Ge
3.268 1.417 4.727 Ge
3.265 3.623 6.302 Ge
1.075 1.193 0.000 Ge
5.180 -0.305 4.727 Pd
-0.840 5.121 1.576 Pd
4.138 0.635 1.576 K
0.202 4.181 4.727 K

17.
MnCu2Ir PBE-GGA relaxed; final energy = -0.4796 Ry per atom; V = 52.4 Å³/cell; energy of formation = 30.7 meV/atom
1.0
-0.590 1.922 4.200
-0.412 -3.218 3.340
3.085 0.679 -3.421
Ir Cu Mn
1 2 1
Cartesian
1.085 -1.593 1.844 Ir
0.000 0.000 0.000 Cu
-0.501 -0.648 3.770 Cu
0.997 0.976 2.274 Mn

18.
Al2GaCl6 PBE-GGA relaxed; final energy = -0.2579 Ry per atom; V = 300.6 Å³/cell; uncorrected formation energy = -1110 meV/atom
1.0
-3.302 2.341 1.127
-0.298 -5.894 3.537
5.727 4.033 8.398
Cl Al Ga
6 2 1
Cartesian
-2.134 -1.379 4.444 Cl
4.261 1.860 8.619 Cl
1.206 2.214 6.766 Cl
0.921 -1.733 6.297 Cl
0.980 -0.128 3.137 Cl
1.147 0.608 9.926 Cl
0.163 -1.806 4.229 Al
1.964 2.287 8.834 Al
2.863 2.017 4.199 Ga

19.
NbIBrN2 PBE-GGA relaxed; final energy = -0.3990 Ry per atom; V = 103.6 Å³/cell; uncorrected formation energy = 560 meV/atom; excess energy over the best structure of this formula in the dataset = 0.000 eV per atom
1.0
4.120 0.000 0.000
0.000 4.120 0.000
0.000 0.000 6.101
N Br Nb I
2 1 1 1
Cartesian
0.000 2.060 0.000 N
2.060 0.000 0.000 N
2.060 2.060 3.050 Br
0.000 0.000 0.000 Nb
0.000 0.000 3.050 I

20.
GdHCl PBE-GGA relaxed; final energy = -0.5489 Ry per atom; V = 52.8 Å³/cell
1.0
3.341 0.000 0.000
0.000 3.341 0.000
-1.671 -1.671 4.731
H Gd Cl
1 1 1
Cartesian
0.000 0.000 0.483 H
1.671 1.671 1.185 Gd
0.000 0.000 3.063 Cl